The following is a DFT calculation (PBE) of YHoCdBi after structural relaxation.

Output
Uncorrected energy, eV per atom: -4.37
SG: F-43m (216)
Formation energy from the elements, kJ/mol of atoms: -40.0

abc: 5.392 5.392 5.392
angles: 60.00 60.00 60.00
Fractional coordinates of all 4 atoms:
Ho: 0.750 0.750 0.750
Y: 0.250 0.250 0.250
Cd: 0.000 0.000 0.000
Bi: 0.500 0.500 0.500